DFT (PBE-GGA) results for ZnC4 after structural relaxation.

Values from the calculation:
E_tot   -4.025 eV per atom
Calculated volume   50.3 Å³/cell
E_form   3.61 eV/atom
Mass density   3.74 g/cm³

a = 4.028 Å, b = 4.028 Å, c = 4.028 Å
α = 109.47°, β = 109.47°, γ = 109.47°
Positions (direct):
Zn  0.000  0.000  0.000
C  0.000  0.000  0.500
C  0.000  0.500  0.000
C  0.500  0.000  0.000
C  0.500  0.500  0.500